The following is a PBE calculation of a geometry-optimized TaBW2 structure, from the Alexandria database.

Lattice parameters (Å, degrees): 3.240 4.950 7.428 90.00 90.00 109.14
Atoms (fractional coordinates):
Ta (0.951, 0.900, 0.250)
Ta (0.049, 0.100, 0.750)
B (0.758, 0.517, 0.750)
B (0.242, 0.483, 0.250)
W (0.351, 0.702, 0.557)
W (0.649, 0.298, 0.443)
W (0.351, 0.702, 0.943)
W (0.649, 0.298, 0.057)

energy relative to the elements = -0.3045 eV/atom
space-group type = P2_1/m (11)

***

The following is a PBE calculation of a geometry-optimized TaBW structure, from the Alexandria database.

Lattice parameters (Å, degrees): 3.197 5.704 8.940 90.00 90.00 90.00
Atoms (fractional coordinates):
Ta (0.750, 0.169, 0.715)
Ta (0.250, 0.669, 0.785)
Ta (0.250, 0.831, 0.285)
Ta (0.750, 0.331, 0.215)
B (0.750, 0.045, 0.442)
B (0.250, 0.545, 0.058)
B (0.250, 0.955, 0.558)
B (0.750, 0.455, 0.942)
W (0.750, 0.677, 0.535)
W (0.250, 0.177, 0.965)
W (0.250, 0.323, 0.465)
W (0.750, 0.823, 0.035)

energy relative to the elements = -0.2802 eV/atom
space-group type = Pnma (62)